# TbDy3Ho2Se6 (PBE-GGA, relaxed)
# Formation energy without anion corrections, eV per atom: -1.7453
data_TbDy3Ho2Se6
_chemical_formula_sum 'Tb2 Dy6 Ho4 Se12'
_space_group_name_H-M_alt 'C 1 2/m 1'
_space_group_IT_number 12
_space_group_name_Hall '-C 2y'
_cell_length_a 7.016
_cell_length_b 12.241
_cell_length_c 7.066
_cell_angle_alpha 90.00
_cell_angle_beta 109.47
_cell_angle_gamma 90.00
loop_
_atom_site_label
_atom_site_fract_x
_atom_site_fract_y
_atom_site_fract_z
Tb1 0.000 0.000 0.000
Dy1 0.000 0.165 0.500
Dy2 0.000 0.500 0.500
Ho1 0.000 0.334 0.000
Se1 0.247 0.500 0.249
Se2 0.249 0.332 0.750



# EuCdPb (PBE-GGA, relaxed)
# Energy of formation, eV/atom: -0.319
data_EuCdPb
_chemical_formula_sum 'Eu4 Cd4 Pb4'
_space_group_name_H-M_alt 'F -4 3 m'
_space_group_IT_number 216
_space_group_name_Hall 'F -4 2 3'
_cell_length_a 7.347
_cell_length_b 7.347
_cell_length_c 7.347
_cell_angle_alpha 90.00
_cell_angle_beta 90.00
_cell_angle_gamma 90.00
loop_
_atom_site_label
_atom_site_fract_x
_atom_site_fract_y
_atom_site_fract_z
Eu1 0.000 0.000 0.000
Cd1 0.000 0.000 0.500
Pb1 0.250 0.250 0.750



# Be2CdSi (PBE-GGA, relaxed)
# Formation energy without anion corrections, eV per atom: 0.5033
# Energy relative to the lowest polymorph listed for this composition, eV per atom: 0.098
data_Be2CdSi
_chemical_formula_sum 'Be2 Cd1 Si1'
_space_group_name_H-M_alt 'P 4/m m m'
_space_group_IT_number 123
_space_group_name_Hall '-P 4 2'
_cell_length_a 2.733
_cell_length_b 2.733
_cell_length_c 7.289
_cell_angle_alpha 90.00
_cell_angle_beta 90.00
_cell_angle_gamma 90.00
loop_
_atom_site_label
_atom_site_fract_x
_atom_site_fract_y
_atom_site_fract_z
Be1 0.000 0.000 0.211
Cd1 0.500 0.500 0.500
Si1 0.500 0.500 0.000



# TmAlPd5 (PBE-GGA, relaxed)
# Energy of formation, eV/atom: -0.801
data_TmAlPd5
_chemical_formula_sum 'Tm1 Al1 Pd5'
_space_group_name_H-M_alt 'P 4/m m m'
_space_group_IT_number 123
_space_group_name_Hall '-P 4 2'
_cell_length_a 4.118
_cell_length_b 4.118
_cell_length_c 7.000
_cell_angle_alpha 90.00
_cell_angle_beta 90.00
_cell_angle_gamma 90.00
loop_
_atom_site_label
_atom_site_fract_x
_atom_site_fract_y
_atom_site_fract_z
Tm1 0.000 0.000 0.000
Al1 0.500 0.500 0.500
Pd1 0.000 0.500 0.291
Pd2 0.500 0.500 0.000



# Tb2TlCl7 (PBE-GGA, relaxed)
# Formation energy without anion corrections, eV per atom: -2.0160
data_Tb2TlCl7
_chemical_formula_sum 'Tb4 Tl2 Cl14'
_space_group_name_H-M_alt 'C m m m'
_space_group_IT_number 65
_space_group_name_Hall '-C 2 2'
_cell_length_a 8.541
_cell_length_b 13.667
_cell_length_c 5.306
_cell_angle_alpha 90.00
_cell_angle_beta 90.00
_cell_angle_gamma 90.00
loop_
_atom_site_label
_atom_site_fract_x
_atom_site_fract_y
_atom_site_fract_z
Tb1 0.000 0.197 0.000
Tl1 0.000 0.500 0.500
Cl1 0.000 0.000 0.000
Cl2 0.000 0.207 0.500
Cl3 0.188 0.361 0.000



# Y3TcB (PBE-GGA, relaxed)
# Energy of formation, eV/atom: 0.413
# Energy relative to the lowest polymorph listed for this composition, eV per atom: 0.000
data_Y3TcB
_chemical_formula_sum 'Y3 Tc1 B1'
_space_group_name_H-M_alt 'P m -3 m'
_space_group_IT_number 221
_space_group_name_Hall '-P 4 2 3'
_cell_length_a 4.923
_cell_length_b 4.923
_cell_length_c 4.923
_cell_angle_alpha 90.00
_cell_angle_beta 90.00
_cell_angle_gamma 90.00
loop_
_atom_site_label
_atom_site_fract_x
_atom_site_fract_y
_atom_site_fract_z
Y1 0.000 0.000 0.500
Tc1 0.500 0.500 0.500
B1 0.000 0.000 0.000



# ErCdSn (PBE-GGA, relaxed)
# Energy of formation, eV/atom: -0.007
data_ErCdSn
_chemical_formula_sum 'Er2 Cd2 Sn2'
_space_group_name_H-M_alt 'I 4 m m'
_space_group_IT_number 107
_space_group_name_Hall 'I 4 -2'
_cell_length_a 3.304
_cell_length_b 3.304
_cell_length_c 16.297
_cell_angle_alpha 90.00
_cell_angle_beta 90.00
_cell_angle_gamma 90.00
loop_
_atom_site_label
_atom_site_fract_x
_atom_site_fract_y
_atom_site_fract_z
Er1 0.000 0.000 0.000
Cd1 0.000 0.000 0.812
Sn1 0.000 0.000 0.634



# Tm6Te3PS2 (PBE-GGA, relaxed)
# Formation energy without anion corrections, eV per atom: -1.5621
data_Tm6Te3PS2
_chemical_formula_sum 'Tm12 Te6 P2 S4'
_space_group_name_H-M_alt 'C 1 2/m 1'
_space_group_IT_number 12
_space_group_name_Hall '-C 2y'
_cell_length_a 6.976
_cell_length_b 12.079
_cell_length_c 7.290
_cell_angle_alpha 90.00
_cell_angle_beta 108.63
_cell_angle_gamma 90.00
loop_
_atom_site_label
_atom_site_fract_x
_atom_site_fract_y
_atom_site_fract_z
Tm1 0.233 0.165 0.203
Tm2 0.238 0.500 0.203
Te1 0.000 0.167 0.500
Te2 0.000 0.500 0.500
P1 0.000 0.000 0.000
S1 0.000 0.333 0.000



# CaTa2Co (PBE-GGA, relaxed)
# Energy of formation, eV/atom: 0.474
# Energy relative to the lowest polymorph listed for this composition, eV per atom: 0.257
data_CaTa2Co
_chemical_formula_sum 'Ca1 Ta2 Co1'
_space_group_name_H-M_alt 'P 1'
_space_group_IT_number 1
_space_group_name_Hall 'P 1'
_cell_length_a 3.836
_cell_length_b 4.617
_cell_length_c 5.897
_cell_angle_alpha 95.79
_cell_angle_beta 108.97
_cell_angle_gamma 114.45
loop_
_atom_site_label
_atom_site_fract_x
_atom_site_fract_y
_atom_site_fract_z
Ca1 0.000 0.000 0.000
Ta1 0.032 0.445 0.618
Ta2 0.554 0.723 0.384
Co1 0.316 0.082 0.547



# Sm3Zn8Au3 (PBE-GGA, relaxed)
# Energy of formation, eV/atom: -0.443
# Energy relative to the lowest polymorph listed for this composition, eV per atom: 0.033
data_Sm3Zn8Au3
_chemical_formula_sum 'Sm6 Zn16 Au6'
_space_group_name_H-M_alt 'I m m m'
_space_group_IT_number 71
_space_group_name_Hall '-I 2 2'
_cell_length_a 4.379
_cell_length_b 9.208
_cell_length_c 13.289
_cell_angle_alpha 90.00
_cell_angle_beta 90.00
_cell_angle_gamma 90.00
loop_
_atom_site_label
_atom_site_fract_x
_atom_site_fract_y
_atom_site_fract_z
Sm1 0.000 0.000 0.000
Sm2 0.000 0.000 0.312
Zn1 0.000 0.276 0.134
Zn2 0.000 0.363 0.324
Au1 0.000 0.229 0.500
Au2 0.000 0.500 0.000



# LiPu2InBr8 (PBE-GGA, relaxed)
# Formation energy without anion corrections, eV per atom: -1.3426
data_LiPu2InBr8
_chemical_formula_sum 'Li1 Pu2 In1 Br8'
_space_group_name_H-M_alt 'P 1 2/m 1'
_space_group_IT_number 10
_space_group_name_Hall '-P 2y'
_cell_length_a 6.899
_cell_length_b 8.810
_cell_length_c 7.160
_cell_angle_alpha 90.00
_cell_angle_beta 95.49
_cell_angle_gamma 90.00
loop_
_atom_site_label
_atom_site_fract_x
_atom_site_fract_y
_atom_site_fract_z
Li1 0.000 0.000 0.000
Pu1 0.500 0.243 0.500
In1 0.000 0.500 0.000
Br1 0.235 0.219 0.171
Br2 0.279 0.000 0.653
Br3 0.286 0.500 0.641



# SrYNi2 (PBE-GGA, relaxed)
# Energy of formation, eV/atom: -0.143
# Energy relative to the lowest polymorph listed for this composition, eV per atom: 0.031
data_SrYNi2
_chemical_formula_sum 'Sr1 Y1 Ni2'
_space_group_name_H-M_alt 'P 1 2/m 1'
_space_group_IT_number 10
_space_group_name_Hall '-P 2y'
_cell_length_a 3.531
_cell_length_b 3.492
_cell_length_c 7.082
_cell_angle_alpha 90.00
_cell_angle_beta 90.06
_cell_angle_gamma 90.00
loop_
_atom_site_label
_atom_site_fract_x
_atom_site_fract_y
_atom_site_fract_z
Sr1 0.000 0.000 0.000
Y1 0.000 0.000 0.500
Ni1 0.500 0.500 0.302



# U2InSn7 (PBE-GGA, relaxed)
# Energy of formation, eV/atom: 0.415
data_U2InSn7
_chemical_formula_sum 'U4 In2 Sn14'
_space_group_name_H-M_alt 'C m m m'
_space_group_IT_number 65
_space_group_name_Hall '-C 2 2'
_cell_length_a 8.388
_cell_length_b 14.835
_cell_length_c 5.622
_cell_angle_alpha 90.00
_cell_angle_beta 90.00
_cell_angle_gamma 90.00
loop_
_atom_site_label
_atom_site_fract_x
_atom_site_fract_y
_atom_site_fract_z
U1 0.000 0.217 0.000
In1 0.000 0.500 0.500
Sn1 0.000 0.000 0.000
Sn2 0.000 0.305 0.500
Sn3 0.184 0.399 0.000



# HoTaPt6 (PBE-GGA, relaxed)
# Energy of formation, eV/atom: -0.902
data_HoTaPt6
_chemical_formula_sum 'Ho1 Ta1 Pt6'
_space_group_name_H-M_alt 'P 4/m m m'
_space_group_IT_number 123
_space_group_name_Hall '-P 4 2'
_cell_length_a 4.054
_cell_length_b 4.054
_cell_length_c 8.116
_cell_angle_alpha 90.00
_cell_angle_beta 90.00
_cell_angle_gamma 90.00
loop_
_atom_site_label
_atom_site_fract_x
_atom_site_fract_y
_atom_site_fract_z
Ho1 0.000 0.000 0.000
Ta1 0.000 0.000 0.500
Pt1 0.000 0.500 0.264
Pt2 0.500 0.500 0.000
Pt3 0.500 0.500 0.500



# LaHoCu2S4 (PBE-GGA, relaxed)
# Formation energy without anion corrections, eV per atom: -1.2735
data_LaHoCu2S4
_chemical_formula_sum 'La2 Ho2 Cu4 S8'
_space_group_name_H-M_alt 'I 2 2 2'
_space_group_IT_number 23
_space_group_name_Hall 'I 2 2'
_cell_length_a 6.499
_cell_length_b 6.804
_cell_length_c 7.674
_cell_angle_alpha 90.00
_cell_angle_beta 90.00
_cell_angle_gamma 90.00
loop_
_atom_site_label
_atom_site_fract_x
_atom_site_fract_y
_atom_site_fract_z
La1 0.000 0.000 0.000
Ho1 0.000 0.000 0.500
Cu1 0.000 0.500 0.169
S1 0.244 0.213 0.300



# MgFe (PBE-GGA, relaxed)
# Energy of formation, eV/atom: 0.164
data_MgFe
_chemical_formula_sum 'Mg6 Fe6'
_space_group_name_H-M_alt 'C 1 m 1'
_space_group_IT_number 8
_space_group_name_Hall 'C -2y'
_cell_length_a 10.441
_cell_length_b 3.108
_cell_length_c 6.177
_cell_angle_alpha 90.00
_cell_angle_beta 107.11
_cell_angle_gamma 90.00
loop_
_atom_site_label
_atom_site_fract_x
_atom_site_fract_y
_atom_site_fract_z
Mg1 0.000 0.000 0.000
Mg2 0.020 0.000 0.486
Mg3 0.207 0.500 0.849
Fe1 0.199 0.500 0.335
Fe2 0.331 0.000 0.205
Fe3 0.332 0.000 0.606



# MgCdSe3 (PBE-GGA, relaxed)
# Formation energy without anion corrections, eV per atom: 0.0685
# Energy relative to the lowest polymorph listed for this composition, eV per atom: 0.000
data_MgCdSe3
_chemical_formula_sum 'Mg1 Cd1 Se3'
_space_group_name_H-M_alt 'P m -3 m'
_space_group_IT_number 221
_space_group_name_Hall '-P 4 2 3'
_cell_length_a 5.067
_cell_length_b 5.067
_cell_length_c 5.067
_cell_angle_alpha 90.00
_cell_angle_beta 90.00
_cell_angle_gamma 90.00
loop_
_atom_site_label
_atom_site_fract_x
_atom_site_fract_y
_atom_site_fract_z
Mg1 0.000 0.000 0.000
Cd1 0.500 0.500 0.500
Se1 0.000 0.000 0.500



# PrYMo4 (PBE-GGA, relaxed)
# Energy of formation, eV/atom: 0.204
data_PrYMo4
_chemical_formula_sum 'Pr4 Y4 Mo16'
_space_group_name_H-M_alt 'F -4 3 m'
_space_group_IT_number 216
_space_group_name_Hall 'F -4 2 3'
_cell_length_a 7.872
_cell_length_b 7.872
_cell_length_c 7.872
_cell_angle_alpha 90.00
_cell_angle_beta 90.00
_cell_angle_gamma 90.00
loop_
_atom_site_label
_atom_site_fract_x
_atom_site_fract_y
_atom_site_fract_z
Pr1 0.000 0.000 0.000
Y1 0.250 0.250 0.750
Mo1 0.125 0.125 0.375



# AcY6Er4 (PBE-GGA, relaxed)
# Energy of formation, eV/atom: 0.134
data_AcY6Er4
_chemical_formula_sum 'Ac4 Y24 Er16'
_space_group_name_H-M_alt 'C m c m'
_space_group_IT_number 63
_space_group_name_Hall '-C 2c 2'
_cell_length_a 5.749
_cell_length_b 9.845
_cell_length_c 25.718
_cell_angle_alpha 90.00
_cell_angle_beta 90.00
_cell_angle_gamma 90.00
loop_
_atom_site_label
_atom_site_fract_x
_atom_site_fract_y
_atom_site_fract_z
Ac1 0.000 0.176 0.250
Y1 0.000 0.157 0.679
Y2 0.000 0.175 0.099
Y3 0.000 0.490 0.750
Y4 0.000 0.500 0.000
Er1 0.000 0.163 0.541
Er2 0.000 0.489 0.622



# Li2ScZn (PBE-GGA, relaxed)
# Energy of formation, eV/atom: -0.041
data_Li2ScZn
_chemical_formula_sum 'Li4 Sc2 Zn2'
_space_group_name_H-M_alt 'I -4 m 2'
_space_group_IT_number 119
_space_group_name_Hall 'I -4 -2'
_cell_length_a 4.395
_cell_length_b 4.395
_cell_length_c 7.368
_cell_angle_alpha 90.00
_cell_angle_beta 90.00
_cell_angle_gamma 90.00
loop_
_atom_site_label
_atom_site_fract_x
_atom_site_fract_y
_atom_site_fract_z
Li1 0.000 0.000 0.000
Li2 0.000 0.500 0.250
Sc1 0.000 0.500 0.750
Zn1 0.000 0.000 0.500